1.
A relaxed Ac4NiPt crystal. Source: Alexandria via LeMat-Bulk, functional PBE.

Geometry as POSCAR:
```
Ac4NiPt
1.0
7.255 1.719 0.000
0.691 7.437 0.000
-3.973 -4.578 8.360
Pt Ac Ni
2 8 2
direct
0.828 0.078 0.155
0.172 0.922 0.845
0.947 0.695 0.897
0.798 0.070 0.610
0.687 0.459 0.390
0.202 0.930 0.390
0.549 0.798 0.103
0.053 0.305 0.103
0.451 0.202 0.897
0.313 0.541 0.610
0.325 0.575 0.149
0.675 0.425 0.851
```

E = -0.190 hartree per atom
N(E_F) = 0.982 states/eV per atom
ΔE to the lowest computed polymorph = 10 meV/atom
calculated formation energy = -465 meV per atom
magnetic moment = 0.00 μB per formula unit

2.
A relaxed Ac12Ni5Pt3 crystal. Source: Alexandria via LeMat-Bulk, functional PBE.

Geometry as POSCAR:
```
Ac12Ni5Pt3
1.0
-2.960 -5.133 -14.006
15.050 0.921 1.986
-5.891 -9.563 10.254
Pt Ni Ac
12 20 48
direct
0.250 0.625 0.875
0.875 0.125 0.250
0.375 0.625 0.250
0.125 0.875 0.750
0.750 0.875 0.625
0.125 0.250 0.875
0.750 0.375 0.125
0.625 0.375 0.750
0.250 0.125 0.375
0.375 0.750 0.625
0.875 0.750 0.125
0.625 0.250 0.375
0.750 0.625 0.375
0.875 0.250 0.625
0.375 0.250 0.125
0.125 0.750 0.375
0.375 0.125 0.750
0.500 0.000 0.500
0.000 0.500 0.000
0.625 0.875 0.250
0.875 0.625 0.750
0.500 0.500 0.500
0.000 0.000 0.000
0.500 0.500 0.000
0.625 0.750 0.875
0.000 0.000 0.500
0.250 0.875 0.125
0.000 0.500 0.500
0.500 0.000 0.000
0.750 0.125 0.875
0.250 0.375 0.625
0.125 0.375 0.250
0.414 0.129 0.590
0.461 0.785 0.871
0.910 0.086 0.871
0.539 0.324 0.910
0.461 0.676 0.090
0.176 0.090 0.961
0.676 0.215 0.586
0.539 0.215 0.129
0.324 0.785 0.414
0.871 0.586 0.910
0.371 0.410 0.086
0.215 0.676 0.086
0.824 0.910 0.039
0.090 0.176 0.461
0.586 0.715 0.676
0.410 0.371 0.586
0.371 0.961 0.785
0.129 0.414 0.090
0.586 0.871 0.410
0.715 0.586 0.176
0.090 0.914 0.129
0.039 0.629 0.715
0.410 0.039 0.324
0.086 0.176 0.215
0.871 0.285 0.461
0.324 0.539 0.410
0.176 0.086 0.715
0.215 0.539 0.629
0.086 0.910 0.371
0.914 0.824 0.785
0.910 0.824 0.539
0.824 0.914 0.285
0.629 0.590 0.914
0.129 0.715 0.539
0.715 0.129 0.039
0.285 0.871 0.961
0.961 0.590 0.176
0.039 0.410 0.824
0.629 0.039 0.215
0.785 0.324 0.914
0.914 0.090 0.629
0.285 0.414 0.824
0.961 0.371 0.285
0.676 0.461 0.590
0.785 0.461 0.371
0.414 0.285 0.324
0.590 0.961 0.676
0.590 0.629 0.414
```

E = -0.187 hartree per atom
N(E_F) = 0.706 states/eV per atom
calculated formation energy = -275 meV per atom
magnetic moment = 0.00 μB per formula unit